Entry 1:
VASP calculation (GGA-PBE) on RbReGe2 after structural relaxation.

Structure (CIF):
```
data_RbReGe2
_chemical_formula_sum 'Rb2 Re2 Ge4'
_symmetry_space_group_name_H-M 'P 1'
_symmetry_Int_Tables_number 1
_cell_length_a 8.266
_cell_length_b 8.266
_cell_length_c 8.266
_cell_angle_alpha 134.65
_cell_angle_beta 134.65
_cell_angle_gamma 66.08
loop_
_symmetry_equiv_pos_as_xyz
'x,y,z'
loop_
_atom_site_label
_atom_site_fract_x
_atom_site_fract_y
_atom_site_fract_z
Rb1 0.375 0.625 0.750
Rb2 0.625 0.375 0.250
Re1 0.125 0.875 0.250
Re2 0.875 0.125 0.750
Ge1 0.000 0.000 0.000
Ge2 0.000 0.000 0.500
Ge3 0.000 0.500 0.000
Ge4 0.500 0.000 0.500
```

* space-group type: I4_1/amd, No. 141
* DOS at the Fermi energy: 0.0616 states/eV per atom
* total moment: 0.0 μB per formula unit
* energy of formation from the pure elements: 263 meV/atom

Entry 2:
VASP calculation (GGA-PBE) on BaMgBe after structural relaxation.

Structure (CIF):
```
data_BaMgBe
_chemical_formula_sum 'Ba2 Mg2 Be2'
_symmetry_space_group_name_H-M 'P 1'
_symmetry_Int_Tables_number 1
_cell_length_a 7.792
_cell_length_b 7.792
_cell_length_c 5.878
_cell_angle_alpha 111.30
_cell_angle_beta 111.30
_cell_angle_gamma 31.38
loop_
_symmetry_equiv_pos_as_xyz
'x,y,z'
loop_
_atom_site_label
_atom_site_fract_x
_atom_site_fract_y
_atom_site_fract_z
Ba1 0.123 0.123 0.378
Ba2 0.877 0.877 0.622
Mg1 0.407 0.409 0.152
Mg2 0.591 0.593 0.848
Be1 0.223 0.235 0.980
Be2 0.765 0.777 0.020
```

* space-group type: C2, No. 5
* DOS at the Fermi energy: 0.7844 states/eV per atom
* total moment: 0.0 μB per formula unit
* energy of formation from the pure elements: 191 meV/atom

Entry 3:
VASP calculation (GGA-PBE) on Ac6Pm5Sm after structural relaxation.

Structure (CIF):
```
data_Ac6Pm5Sm
_chemical_formula_sum 'Ac6 Pm5 Sm1'
_symmetry_space_group_name_H-M 'P 1'
_symmetry_Int_Tables_number 1
_cell_length_a 10.100
_cell_length_b 10.100
_cell_length_c 10.100
_cell_angle_alpha 148.48
_cell_angle_beta 117.44
_cell_angle_gamma 71.74
loop_
_symmetry_equiv_pos_as_xyz
'x,y,z'
loop_
_atom_site_label
_atom_site_fract_x
_atom_site_fract_y
_atom_site_fract_z
Ac1 0.083 0.333 0.750
Ac2 0.250 0.000 0.250
Ac3 0.416 0.667 0.750
Ac4 0.584 0.333 0.250
Ac5 0.750 0.000 0.750
Ac6 0.917 0.667 0.250
Pm1 0.167 0.167 0.000
Pm2 0.333 0.833 0.500
Pm3 0.500 0.500 0.000
Pm4 0.667 0.167 0.500
Pm5 0.833 0.833 0.000
Sm1 0.000 0.500 0.500
```

* space-group type: Immm, No. 71
* DOS at the Fermi energy: 1.4853 states/eV per atom
* total moment: 0.0 μB per formula unit
* energy of formation from the pure elements: 30 meV/atom

Entry 4:
VASP calculation (GGA-PBE) on Ba3Na3Sr after structural relaxation.

Structure (CIF):
```
data_Ba3Na3Sr
_chemical_formula_sum 'Ba6 Na6 Sr2'
_symmetry_space_group_name_H-M 'P 1'
_symmetry_Int_Tables_number 1
_cell_length_a 9.138
_cell_length_b 9.138
_cell_length_c 9.019
_cell_angle_alpha 90.00
_cell_angle_beta 90.00
_cell_angle_gamma 83.01
loop_
_symmetry_equiv_pos_as_xyz
'x,y,z'
loop_
_atom_site_label
_atom_site_fract_x
_atom_site_fract_y
_atom_site_fract_z
Ba1 0.200 0.800 0.000
Ba2 0.204 0.796 0.500
Ba3 0.272 0.272 0.499
Ba4 0.728 0.728 0.501
Ba5 0.796 0.204 0.500
Ba6 0.800 0.200 0.000
Na1 0.001 0.499 0.756
Na2 0.499 0.001 0.756
Na3 0.499 0.499 0.760
Na4 0.501 0.501 0.240
Na5 0.501 0.999 0.244
Na6 0.999 0.501 0.244
Sr1 0.270 0.270 0.001
Sr2 0.730 0.730 0.999
```

* space-group type: C2/m, No. 12
* DOS at the Fermi energy: 1.3657 states/eV per atom
* total moment: 0.0 μB per formula unit
* energy of formation from the pure elements: 69 meV/atom